[1]
Entry from the Alexandria database: a relaxed HfMnNi3 crystal (PBE-GGA).

abc: 4.4866 4.4866 4.4866
angles: 90.00 90.00 90.00
Element x y z (fractional)
Ni 0.0000 0.5000 0.0000
Ni 0.0000 0.0000 0.5000
Ni 0.5000 0.0000 0.0000
Mn 0.5000 0.5000 0.5000
Hf 0.0000 0.0000 0.0000

Properties
theoretical density = 7530 kg/m3
calculated formation energy = 7.89 eV per formula unit
E above lowest polymorph = 969 meV per atom
size of the total moment = 0.2 μB per cell


[2]
Entry from the Alexandria database: a relaxed Hf3MnNi crystal (PBE-GGA).

abc: 4.7131 4.7131 4.7131
angles: 90.00 90.00 90.00
Element x y z (fractional)
Ni 0.5000 0.5000 0.5000
Mn 0.0000 0.0000 0.0000
Hf 0.0000 0.5000 0.0000
Hf 0.0000 0.0000 0.5000
Hf 0.5000 0.0000 0.0000

Properties
theoretical density = 10295 kg/m3
calculated formation energy = 2.92 eV per formula unit
E above lowest polymorph = 0 meV per atom
size of the total moment = 0.0 μB per cell


[3]
Entry from the Alexandria database: a relaxed Hf8MnNi2 crystal (PBE-GGA).

abc: 4.6293 6.0391 7.9937
angles: 99.67 106.83 90.00
Element x y z (fractional)
Hf 0.4118 0.5596 0.8235
Hf 0.6645 0.9626 0.3290
Hf 0.8070 0.6797 0.6140
Hf 0.9678 0.2415 0.9357
Hf 0.1930 0.3203 0.3860
Hf 0.3355 0.0374 0.6710
Hf 0.5883 0.4404 0.1765
Hf 0.0322 0.7585 0.0643
Mn 0.5000 0.0000 0.0000
Ni 0.7982 0.2668 0.5964
Ni 0.2018 0.7332 0.4036

Properties
theoretical density = 12619 kg/m3
calculated formation energy = -1.74 eV per formula unit
size of the total moment = 0.0 μB per cell


[4]
Entry from the Alexandria database: a relaxed Hf3MnNi crystal (PBE-GGA).

abc: 4.7112 4.7112 4.7112
angles: 90.00 90.00 90.00
Element x y z (fractional)
Ni 0.0000 0.0000 0.0000
Mn 0.5000 0.5000 0.5000
Hf 0.0000 0.5000 0.0000
Hf 0.0000 0.0000 0.5000
Hf 0.5000 0.0000 0.0000

Properties
theoretical density = 10308 kg/m3
calculated formation energy = 3.73 eV per formula unit
E above lowest polymorph = 161 meV per atom
size of the total moment = 0.0 μB per cell


[5]
Entry from the Alexandria database: a relaxed Hf2Mn2Ni crystal (PBE-GGA).

abc: 6.2491 6.2491 3.9589
angles: 90.00 90.00 90.00
Element x y z (fractional)
Ni 0.0000 0.0000 0.0000
Ni 0.5000 0.5000 0.0000
Mn 0.3843 0.8843 0.0000
Mn 0.8843 0.6157 0.0000
Mn 0.6157 0.1157 0.0000
Mn 0.1157 0.3843 0.0000
Hf 0.1829 0.6829 0.5000
Hf 0.6829 0.8171 0.5000
Hf 0.8171 0.3171 0.5000
Hf 0.3171 0.1829 0.5000

Properties
theoretical density = 11290 kg/m3
calculated formation energy = -0.54 eV per formula unit
size of the total moment = 2.3 μB per cell


[6]
Entry from the Alexandria database: a relaxed HfMn3Ni crystal (PBE-GGA).

abc: 4.6614 4.6614 4.6614
angles: 90.00 90.00 90.00
Element x y z (fractional)
Ni 0.5000 0.5000 0.5000
Mn 0.0000 0.5000 0.0000
Mn 0.0000 0.0000 0.5000
Mn 0.5000 0.0000 0.0000
Hf 0.0000 0.0000 0.0000

Properties
theoretical density = 6591 kg/m3
calculated formation energy = 8.24 eV per formula unit
E above lowest polymorph = 979 meV per atom
size of the total moment = 9.6 μB per cell